Entry 1:
A plane-wave DFT calculation with PBE was carried out for a relaxed GaBiPb2 crystal.

Lattice parameters (Å, degrees): 12.189 12.189 12.189 16.07 16.07 16.07
Fractional coordinates of all 4 atoms:
Ga  0.000  0.000  0.000
Bi  0.500  0.500  0.500
Pb  0.083  0.083  0.083
Pb  0.917  0.917  0.917

ΔE_f, eV/atom: 0.185
Distance to the lowest polymorph of the same formula, eV/atom: 0.137
Calculated total energy, eV/atom: -3.40
Magnetic moment, μB/f.u.: 0.0
Density of states at the Fermi level, states/eV/cell: 2.2

---

Entry 2:
A plane-wave DFT calculation with PBE was carried out for a relaxed GaBiPb2 crystal.

Lattice parameters (Å, degrees): 4.818 7.206 7.262 80.75 81.02 88.67
Fractional coordinates of all 8 atoms:
Ga  0.000  0.000  0.000
Ga  0.500  0.500  0.500
Bi  0.245  0.107  0.590
Bi  0.755  0.893  0.410
Pb  0.002  0.633  0.754
Pb  0.465  0.729  0.075
Pb  0.535  0.271  0.925
Pb  0.998  0.367  0.246

ΔE_f, eV/atom: 0.086
Distance to the lowest polymorph of the same formula, eV/atom: 0.038
Calculated total energy, eV/atom: -3.50
Magnetic moment, μB/f.u.: 0.0
Density of states at the Fermi level, states/eV/cell: 3.5

---

Entry 3:
A plane-wave DFT calculation with PBE was carried out for a relaxed Ga4BiPb crystal.

Lattice parameters (Å, degrees): 5.835 5.835 5.835 60.00 60.00 60.00
Fractional coordinates of all 6 atoms:
Ga  0.125  0.125  0.125
Ga  0.125  0.125  0.625
Ga  0.125  0.625  0.125
Ga  0.625  0.125  0.125
Bi  0.500  0.500  0.500
Pb  0.750  0.750  0.750

ΔE_f, eV/atom: 0.060
Calculated total energy, eV/atom: -3.22
Magnetic moment, μB/f.u.: 0.0
Density of states at the Fermi level, states/eV/cell: 2.6

---

Entry 4:
A plane-wave DFT calculation with PBE was carried out for a relaxed GaBiPb2 crystal.

Lattice parameters (Å, degrees): 4.075 4.075 7.074 90.00 90.00 90.00
Fractional coordinates of all 4 atoms:
Ga  0.000  0.000  0.000
Bi  0.000  0.000  0.500
Pb  0.500  0.500  0.242
Pb  0.500  0.500  0.758

ΔE_f, eV/atom: 0.074
Distance to the lowest polymorph of the same formula, eV/atom: 0.026
Calculated total energy, eV/atom: -3.51
Magnetic moment, μB/f.u.: 0.0
Density of states at the Fermi level, states/eV/cell: 1.9

---

Entry 5:
A plane-wave DFT calculation with PBE was carried out for a relaxed Ga3Bi5Pb12 crystal.

Lattice parameters (Å, degrees): 15.729 15.729 15.729 109.47 109.47 109.47
Fractional coordinates of all 80 atoms:
Ga  0.125  0.250  0.375
Ga  0.125  0.375  0.750
Ga  0.250  0.375  0.125
Ga  0.250  0.875  0.625
Ga  0.375  0.125  0.250
Ga  0.375  0.750  0.125
Ga  0.625  0.250  0.875
Ga  0.625  0.875  0.750
Ga  0.750  0.125  0.375
Ga  0.750  0.625  0.875
Ga  0.875  0.625  0.250
Ga  0.875  0.750  0.625
Bi  0.000  0.000  0.000
Bi  0.000  0.000  0.500
Bi  0.000  0.500  0.000
Bi  0.000  0.500  0.500
Bi  0.125  0.750  0.875
Bi  0.125  0.875  0.250
Bi  0.250  0.125  0.875
Bi  0.250  0.625  0.375
Bi  0.375  0.250  0.625
Bi  0.375  0.625  0.750
Bi  0.500  0.000  0.000
Bi  0.500  0.000  0.500
Bi  0.500  0.500  0.000
Bi  0.500  0.500  0.500
Bi  0.625  0.375  0.250
Bi  0.625  0.750  0.375
Bi  0.750  0.375  0.625
Bi  0.750  0.875  0.125
Bi  0.875  0.125  0.750
Bi  0.875  0.250  0.125
Pb  0.062  0.634  0.393
Pb  0.062  0.928  0.669
Pb  0.072  0.241  0.134
Pb  0.072  0.331  0.938
Pb  0.107  0.741  0.669
Pb  0.107  0.866  0.438
Pb  0.134  0.072  0.241
Pb  0.134  0.562  0.893
Pb  0.169  0.241  0.607
Pb  0.169  0.428  0.562
Pb  0.241  0.134  0.072
Pb  0.241  0.607  0.169
Pb  0.259  0.331  0.893
Pb  0.259  0.428  0.366
Pb  0.331  0.893  0.259
Pb  0.331  0.938  0.072
Pb  0.366  0.259  0.428
Pb  0.366  0.607  0.938
Pb  0.393  0.062  0.634
Pb  0.393  0.831  0.759
Pb  0.428  0.366  0.259
Pb  0.428  0.562  0.169
Pb  0.438  0.107  0.866
Pb  0.438  0.831  0.572
Pb  0.562  0.169  0.428
Pb  0.562  0.893  0.134
Pb  0.572  0.438  0.831
Pb  0.572  0.634  0.741
Pb  0.607  0.169  0.241
Pb  0.607  0.938  0.366
Pb  0.634  0.393  0.062
Pb  0.634  0.741  0.572
Pb  0.669  0.062  0.928
Pb  0.669  0.107  0.741
Pb  0.741  0.572  0.634
Pb  0.741  0.669  0.107
Pb  0.759  0.393  0.831
Pb  0.759  0.866  0.928
Pb  0.831  0.572  0.438
Pb  0.831  0.759  0.393
Pb  0.866  0.438  0.107
Pb  0.866  0.928  0.759
Pb  0.893  0.134  0.562
Pb  0.893  0.259  0.331
Pb  0.928  0.669  0.062
Pb  0.928  0.759  0.866
Pb  0.938  0.072  0.331
Pb  0.938  0.366  0.607

ΔE_f, eV/atom: 0.200
Calculated total energy, eV/atom: -3.45
Magnetic moment, μB/f.u.: 0.0
Density of states at the Fermi level, states/eV/cell: 42.6

---

Entry 6:
A plane-wave DFT calculation with PBE was carried out for a relaxed RbGaBi2Pb crystal.

Lattice parameters (Å, degrees): 7.748 7.748 7.748 140.28 140.28 57.43
Fractional coordinates of all 5 atoms:
Rb  0.000  0.000  0.000
Ga  0.750  0.250  0.500
Bi  0.381  0.381  0.000
Bi  0.619  0.619  0.000
Pb  0.250  0.750  0.500

ΔE_f, eV/atom: -0.144
Calculated total energy, eV/atom: -3.24
Magnetic moment, μB/f.u.: 0.0
Density of states at the Fermi level, states/eV/cell: 2.1

---

Look up the density of states at the Fermi level of the second one.
3.5 states/eV/cell

---

Which formula does entry 5 have?
Ga3Bi5Pb12